1.
Here is an optimized crystal structure of MgPa2B from Alexandria. Energies are from PBE.

```
MgPa2B
1.0
3.298 0.000 0.000
-1.649 2.857 0.000
0.000 0.000 29.837
Mg Pa B
3 6 3
Direct
0.000 0.000 0.000 Mg
0.333 0.667 0.667 Mg
0.667 0.333 0.333 Mg
0.000 0.000 0.114 Pa
0.000 0.000 0.886 Pa
0.333 0.667 0.553 Pa
0.333 0.667 0.781 Pa
0.667 0.333 0.219 Pa
0.667 0.333 0.447 Pa
0.000 0.000 0.500 B
0.333 0.667 0.167 B
0.667 0.333 0.833 B
```

Values from the calculation:
As for the total energy: -79.371 eV/cell. The value obtained for the density of states at the Fermi level is 21.26 states/eV/cell. The calculation puts the total magnetic moment at 0.00 μB/cell.

---

2.
Here is an optimized crystal structure of MgPaB from Alexandria. Energies are from PBE.

```
MgPaB
1.0
3.446 0.000 0.000
0.000 21.299 0.000
0.000 0.000 3.112
Mg Pa B
4 4 4
Direct
0.000 0.200 0.250 Mg
0.000 0.800 0.750 Mg
0.500 0.300 0.750 Mg
0.500 0.700 0.250 Mg
0.000 0.423 0.250 Pa
0.000 0.577 0.750 Pa
0.500 0.077 0.750 Pa
0.500 0.923 0.250 Pa
0.000 0.017 0.250 B
0.000 0.983 0.750 B
0.500 0.483 0.750 B
0.500 0.517 0.250 B
```

Values from the calculation:
As for the total energy: -73.683 eV/cell. The value obtained for the density of states at the Fermi level is 14.79 states/eV/cell. The calculation puts the total magnetic moment at 0.90 μB/cell.

---

3.
Here is an optimized crystal structure of MgB2Pb from Alexandria. Energies are from PBE.

```
MgB2Pb
1.0
6.364 0.000 0.000
0.000 6.364 0.000
0.000 0.000 6.364
Mg B Pb
4 8 4
Direct
0.000 0.000 0.000 Mg
0.000 0.500 0.500 Mg
0.500 0.000 0.500 Mg
0.500 0.500 0.000 Mg
0.250 0.250 0.250 B
0.250 0.250 0.750 B
0.250 0.750 0.250 B
0.250 0.750 0.750 B
0.750 0.250 0.250 B
0.750 0.250 0.750 B
0.750 0.750 0.250 B
0.750 0.750 0.750 B
0.000 0.000 0.500 Pb
0.000 0.500 0.000 Pb
0.500 0.000 0.000 Pb
0.500 0.500 0.500 Pb
```

Values from the calculation:
The polymorph energy (0 for the lowest one) is 0.4 kJ/mol of atoms. The value obtained for the density of states at the Fermi level is 7.12 states/eV/cell. The calculation puts the total magnetic moment at 0.00 μB/cell.

---

4.
Here is an optimized crystal structure of Mg2B2Pb from Alexandria. Energies are from PBE.

```
Mg2B2Pb
1.0
6.577 0.000 0.000
0.000 6.577 0.000
0.000 0.000 3.724
Mg B Pb
4 4 2
Direct
0.163 0.337 0.000 Mg
0.337 0.837 0.000 Mg
0.663 0.163 0.000 Mg
0.837 0.663 0.000 Mg
0.086 0.586 0.500 B
0.414 0.086 0.500 B
0.586 0.914 0.500 B
0.914 0.414 0.500 B
0.000 0.000 0.500 Pb
0.500 0.500 0.500 Pb
```

Values from the calculation:
The polymorph energy (0 for the lowest one) is 0.0 kJ/mol of atoms. The value obtained for the density of states at the Fermi level is 2.63 states/eV/cell. The calculation puts the total magnetic moment at 0.00 μB/cell.

---

5.
Here is an optimized crystal structure of MgB2Pb from Alexandria. Energies are from PBE.

```
MgB2Pb
1.0
6.414 0.000 0.000
0.000 6.414 0.000
0.000 0.000 6.951
Mg B Pb
4 8 4
Direct
0.000 0.000 0.000 Mg
0.000 0.500 0.250 Mg
0.500 0.000 0.750 Mg
0.500 0.500 0.500 Mg
0.249 0.250 0.625 B
0.250 0.749 0.875 B
0.250 0.751 0.375 B
0.251 0.250 0.125 B
0.749 0.750 0.125 B
0.750 0.249 0.375 B
0.750 0.251 0.875 B
0.751 0.750 0.625 B
0.000 0.000 0.500 Pb
0.000 0.500 0.750 Pb
0.500 0.000 0.250 Pb
0.500 0.500 0.000 Pb
```

Values from the calculation:
The polymorph energy (0 for the lowest one) is 0.0 kJ/mol of atoms. The value obtained for the density of states at the Fermi level is 9.39 states/eV/cell. The calculation puts the total magnetic moment at 0.00 μB/cell.

---

6.
Here is an optimized crystal structure of Mg2B2Pb from Alexandria. Energies are from PBE.

```
Mg2B2Pb
1.0
3.066 0.000 0.000
0.000 3.066 0.000
0.000 0.000 17.667
Mg B Pb
4 4 2
Direct
0.000 0.000 0.143 Mg
0.000 0.000 0.857 Mg
0.500 0.500 0.357 Mg
0.500 0.500 0.643 Mg
0.000 0.500 0.250 B
0.000 0.500 0.750 B
0.500 0.000 0.250 B
0.500 0.000 0.750 B
0.000 0.000 0.500 Pb
0.500 0.500 0.000 Pb
```

Values from the calculation:
The polymorph energy (0 for the lowest one) is 21.4 kJ/mol of atoms. The value obtained for the density of states at the Fermi level is 3.97 states/eV/cell. The calculation puts the total magnetic moment at 0.00 μB/cell.

---

7.
Here is an optimized crystal structure of Mg2B2Pb from Alexandria. Energies are from PBE.

```
Mg2B2Pb
1.0
7.549 0.000 0.000
0.000 7.549 0.000
0.000 0.000 2.936
Mg B Pb
4 4 2
Direct
0.131 0.369 0.000 Mg
0.369 0.869 0.000 Mg
0.631 0.131 0.000 Mg
0.869 0.631 0.000 Mg
0.167 0.667 0.500 B
0.333 0.167 0.500 B
0.667 0.833 0.500 B
0.833 0.333 0.500 B
0.000 0.000 0.000 Pb
0.500 0.500 0.000 Pb
```

Values from the calculation:
The polymorph energy (0 for the lowest one) is 54.2 kJ/mol of atoms. The value obtained for the density of states at the Fermi level is 4.48 states/eV/cell. The calculation puts the total magnetic moment at 0.00 μB/cell.

---

8.
Here is an optimized crystal structure of MgB3Pb from Alexandria. Energies are from PBE.

```
MgB3Pb
1.0
4.449 0.000 0.000
0.000 4.449 0.000
0.000 0.000 4.449
Mg B Pb
1 3 1
Direct
0.000 0.000 0.000 Mg
0.000 0.000 0.500 B
0.000 0.500 0.000 B
0.500 0.000 0.000 B
0.500 0.500 0.500 Pb
```

Values from the calculation:
The polymorph energy (0 for the lowest one) is 0.0 kJ/mol of atoms. The value obtained for the density of states at the Fermi level is 3.35 states/eV/cell. The calculation puts the total magnetic moment at 0.00 μB/cell.